(1)
The following is a PBE calculation of NaBe2TcN after structural relaxation, from Alexandria.

Computed properties:
ΔE_f (raw) = 2.98 eV per atom

a = 4.0895 Å, b = 4.0895 Å, c = 4.7291 Å
α = 90.00°, β = 90.00°, γ = 90.00°
Space group P4/mmm (No. 123)
One atom of each set of equivalent atoms:
Na 0.0000 0.0000 0.0000 x1
Be 0.0000 0.5000 0.0000 x2
Tc 0.0000 0.0000 0.5000 x1
N 0.5000 0.5000 0.5000 x1


(2)
The following is a PBE calculation of HgTeIr after structural relaxation, from Alexandria.

Computed properties:
ΔE_f (raw) = 0.34 eV per atom
Distance to the lowest polymorph of the same formula = 0.176 eV per atom

a = 3.2907 Å, b = 3.2907 Å, c = 12.8349 Å
α = 90.00°, β = 90.00°, γ = 90.00°
Space group I4mm (No. 107)
One atom of each set of equivalent atoms:
Hg 0.0000 0.0000 0.0000 x2
Te 0.0000 0.0000 0.7283 x2
Ir 0.0000 0.0000 0.3319 x2


(3)
The following is a PBE calculation of CsRbTiF6 after structural relaxation, from Alexandria.

Computed properties:
ΔE_f (raw) = -3.25 eV per atom

a = 6.5559 Å, b = 6.5559 Å, c = 5.5221 Å
α = 90.00°, β = 90.00°, γ = 120.00°
Space group P312 (No. 149)
One atom of each set of equivalent atoms:
Cs 0.0000 0.0000 0.0000 x1
Rb 0.3333 0.6667 0.5000 x1
Ti 0.6667 0.3333 0.5000 x1
F 0.4275 0.0950 0.6951 x6


(4)
The following is a PBE calculation of DyLuBeOs after structural relaxation, from Alexandria.

Computed properties:
ΔH_f (0 K) = -0.121 eV per atom

a = 6.7531 Å, b = 6.7531 Å, c = 6.7531 Å
α = 90.00°, β = 90.00°, γ = 90.00°
Space group F-43m (No. 216)
One atom of each set of equivalent atoms:
Dy 0.0000 0.0000 0.0000 x4
Lu 0.0000 0.0000 0.5000 x4
Be 0.2500 0.2500 0.2500 x4
Os 0.2500 0.2500 0.7500 x4


(5)
The following is a PBE calculation of SiMoPb2 after structural relaxation, from Alexandria.

Computed properties:
ΔE_f (raw) = 1.23 eV per atom

a = 6.4287 Å, b = 6.4287 Å, c = 12.4013 Å
α = 90.00°, β = 90.00°, γ = 90.00°
Space group I-42d (No. 122)
One atom of each set of equivalent atoms:
Si 0.0000 0.0000 0.0000 x4
Mo 0.0000 0.0000 0.5000 x4
Pb 0.2414 0.2500 0.1250 x8


(6)
The following is a PBE calculation of PaAlAs after structural relaxation, from Alexandria.

Computed properties:
ΔH_f (0 K) = -0.443 eV per atom

a = 4.7345 Å, b = 4.7345 Å, c = 21.8149 Å
α = 90.00°, β = 90.00°, γ = 120.00°
Space group R-3m (No. 166, hexagonal axes)
One atom of each set of equivalent atoms:
Pa 0.0000 0.0000 0.0815 x6
Al 0.0000 0.0000 0.3374 x6
As 0.0000 0.0000 0.2157 x6


(7)
The following is a PBE calculation of TbNd4Ho10 after structural relaxation, from Alexandria.

Computed properties:
ΔH_f (0 K) = 0.269 eV per atom

a = 11.2599 Å, b = 11.2599 Å, c = 7.9660 Å
α = 90.00°, β = 90.00°, γ = 90.00°
Space group I4/mmm (No. 139)
One atom of each set of equivalent atoms:
Tb 0.0000 0.0000 0.0000 x2
Nd 0.2277 0.2277 0.0000 x8
Ho 0.0000 0.2082 0.2939 x16
Ho 0.0000 0.5000 0.2500 x4


(8)
The following is a PBE calculation of BPd after structural relaxation, from Alexandria.

Computed properties:
ΔH_f (0 K) = 0.036 eV per atom

a = 5.6211 Å, b = 5.7031 Å, c = 5.8275 Å
α = 90.00°, β = 90.00°, γ = 90.00°
Space group P2_12_12_1 (No. 19)
One atom of each set of equivalent atoms:
B 0.1268 0.1403 0.0006 x4
B 0.1830 0.6346 0.4753 x4
Pd 0.0254 0.9637 0.3223 x4
Pd 0.0374 0.3418 0.6763 x4


(9)
The following is a PBE calculation of RbNaFe2Mo after structural relaxation, from Alexandria.

Computed properties:
ΔH_f (0 K) = 3.042 eV per atom

a = 4.5837 Å, b = 4.5837 Å, c = 4.9574 Å
α = 90.00°, β = 90.00°, γ = 90.00°
Space group P4/mmm (No. 123)
One atom of each set of equivalent atoms:
Rb 0.0000 0.0000 0.0000 x1
Na 0.5000 0.5000 0.5000 x1
Fe 0.0000 0.5000 0.0000 x2
Mo 0.0000 0.0000 0.5000 x1


(10)
The following is a PBE calculation of La5CoAu2N after structural relaxation, from Alexandria.

Computed properties:
ΔE_f (raw) = -0.70 eV per atom

a = 4.0730 Å, b = 18.1216 Å, c = 13.4701 Å
α = 90.00°, β = 90.00°, γ = 90.00°
Space group Cmc2_1 (No. 36)
One atom of each set of equivalent atoms:
La 0.0000 0.0023 0.0000 x4
La 0.0000 0.1492 0.2255 x4
La 0.0000 0.1861 0.6044 x4
La 0.0000 0.2164 0.8886 x4
La 0.0000 0.4558 0.2381 x4
Co 0.0000 0.2904 0.2482 x4
Au 0.0000 0.3673 0.5400 x4
Au 0.0000 0.3906 0.9023 x4
N 0.0000 0.0547 0.6498 x4


(11)
The following is a PBE calculation of VRe after structural relaxation, from Alexandria.

Computed properties:
ΔH_f (0 K) = 1.963 eV per atom

a = 7.6675 Å, b = 7.6675 Å, c = 7.6675 Å
α = 90.00°, β = 90.00°, γ = 90.00°
Space group I-43m (No. 217)
One atom of each set of equivalent atoms:
V 0.1778 0.1778 0.1778 x8
Re 0.1286 0.1286 0.8714 x8


(12)
The following is a PBE calculation of TbSmHoIn after structural relaxation, from Alexandria.

Computed properties:
Distance to the lowest polymorph of the same formula = 0.127 eV per atom
ΔH_f (0 K) = -0.139 eV per atom

a = 7.7553 Å, b = 7.7553 Å, c = 7.7553 Å
α = 90.00°, β = 90.00°, γ = 90.00°
Space group F-43m (No. 216)
One atom of each set of equivalent atoms:
Tb 0.0000 0.0000 0.0000 x4
Sm 0.0000 0.0000 0.5000 x4
Ho 0.2500 0.2500 0.7500 x4
In 0.2500 0.2500 0.2500 x4


| no. | size of the total moment (Bohr magnetons per cell) |
| --- | --- |
| 1 | 2.74 |
| 2 | 0.00 |
| 3 | 0.14 |
| 4 | 0.01 |
| 5 | 8.01 |
| 6 | 1.55 |
| 7 | 0.00 |
| 8 | 0.00 |
| 9 | 2.00 |
| 10 | 0.00 |
| 11 | 5.12 |
| 12 | 4.17 |